(1)
VASP calculation (PBE-GGA) on a relaxed LiAg2GeS4 crystal.

Properties
Formation energy without anion corrections ... -0.26 eV per atom

abc: 7.496 7.496 7.410
angles: 119.62 119.62 93.35
Positions (direct):
Ge  0.500  0.500  0.500
S  0.229  0.271  0.485
S  0.762  0.216  0.989
Li  0.000  0.500  0.000
S  0.238  0.784  0.011
S  0.229  0.271  0.015
Li  0.000  0.500  0.500
Ge  0.000  0.000  0.000
Ag  0.000  0.000  0.500
S  0.716  0.262  0.489
S  0.771  0.729  0.985
Ag  0.500  0.000  0.500
Ag  0.500  0.000  0.000
S  0.771  0.729  0.515
Ag  0.500  0.500  0.000
S  0.284  0.738  0.511

=====

(2)
VASP calculation (PBE-GGA) on a relaxed LiAgGeSe2 crystal.

Properties
Formation energy without anion corrections ... 0.08 eV per atom

abc: 5.222 4.843 5.222
angles: 90.00 90.00 90.00
Positions (direct):
Ag  0.000  0.500  0.000
Ge  0.000  0.000  0.000
Li  0.500  0.500  0.500
Se  0.000  0.000  0.500
Se  0.500  0.000  0.000

=====

(3)
VASP calculation (PBE-GGA) on a relaxed LiSmAgGe2 crystal.

Properties
ΔH_f (0 K) ... -52.3 kJ per mole of atoms

abc: 4.172 4.172 6.350
angles: 109.18 109.18 90.00
Positions (direct):
Ge  0.609  0.609  0.218
Ag  0.250  0.750  0.500
Ge  0.391  0.391  0.782
Li  0.750  0.250  0.500
Sm  0.000  0.000  0.000

=====

(4)
VASP calculation (PBE-GGA) on a relaxed LiAgSnGe crystal.

Properties
ΔH_f (0 K) ... -4.5 kJ per mole of atoms

abc: 4.803 4.803 4.803
angles: 60.00 60.00 60.00
Positions (direct):
Ge  0.250  0.250  0.250
Sn  0.750  0.750  0.750
Li  0.000  0.000  0.000
Ag  0.500  0.500  0.500

=====

(5)
VASP calculation (PBE-GGA) on a relaxed Li5Ag2Sn2Ge crystal.

Properties
ΔH_f (0 K) ... -18.2 kJ per mole of atoms

abc: 3.308 10.509 10.509
angles: 90.00 90.00 90.00
Positions (direct):
Li  0.500  0.939  0.185
Li  0.500  0.561  0.685
Ge  0.000  0.500  0.500
Ge  0.000  0.000  0.000
Ag  0.000  0.635  0.865
Li  0.500  0.815  0.939
Li  0.500  0.315  0.561
Sn  0.000  0.833  0.667
Li  0.500  0.185  0.061
Ag  0.000  0.365  0.135
Li  0.500  0.439  0.315
Sn  0.000  0.167  0.333
Sn  0.000  0.667  0.167
Li  0.500  0.061  0.815
Sn  0.000  0.333  0.833
Ag  0.000  0.865  0.365
Li  0.500  0.000  0.500
Li  0.500  0.685  0.439
Ag  0.000  0.135  0.635
Li  0.500  0.500  0.000

=====

(6)
VASP calculation (PBE-GGA) on a relaxed SrLiAgGe crystal.

Properties
ΔH_f (0 K) ... -26.0 kJ per mole of atoms

abc: 4.947 4.947 4.947
angles: 60.00 60.00 60.00
Positions (direct):
Ge  0.250  0.250  0.250
Li  0.000  0.000  0.000
Sr  0.750  0.750  0.750
Ag  0.500  0.500  0.500

=====

(7)
VASP calculation (PBE-GGA) on a relaxed Sr2Li3Ag12Ge crystal.

Properties
ΔH_f (0 K) ... 0.1 kJ per mole of atoms

abc: 10.533 10.533 10.533
angles: 37.97 37.97 37.97
Positions (direct):
Ag  0.363  0.921  0.921
Ge  0.000  0.000  0.000
Ag  0.591  0.186  0.591
Ag  0.079  0.637  0.079
Li  0.000  0.500  0.000
Ag  0.637  0.079  0.079
Ag  0.409  0.409  0.814
Sr  0.646  0.646  0.646
Ag  0.921  0.921  0.363
Ag  0.591  0.591  0.186
Sr  0.354  0.354  0.354
Ag  0.814  0.409  0.409
Ag  0.186  0.591  0.591
Ag  0.079  0.079  0.637
Li  0.500  0.000  0.000
Ag  0.409  0.814  0.409
Li  0.000  0.000  0.500
Ag  0.921  0.363  0.921

=====

(8)
VASP calculation (PBE-GGA) on a relaxed SrLi2Ag2Ge2 crystal.

Properties
ΔH_f (0 K) ... -31.3 kJ per mole of atoms

abc: 4.567 4.594 8.204
angles: 105.27 90.00 119.81
Positions (direct):
Li  0.869  0.738  0.591
Ge  0.433  0.867  0.310
Sr  0.000  0.000  0.000
Ag  0.251  0.501  0.741
Li  0.131  0.262  0.409
Ge  0.567  0.133  0.690
Ag  0.749  0.499  0.259

=====

no.,E (eV per cell)
1,-61.69
2,-15.95
3,-21.43
4,-13.57
5,-59.57
6,-12.14
7,-47.91
8,-22.72